# PBE-GGA Li3MnV2Se6, optimized geometry
# M_tot (μB per formula unit): 8.00
# Raw formation energy (eV/atom): -0.84
data_Li3MnV2Se6
_chemical_formula_sum 'Li6 Mn2 V4 Se12'
_cell_length_a 6.5439
_cell_length_b 10.9812
_cell_length_c 6.6631
_cell_angle_alpha 90.00
_cell_angle_beta 109.14
_cell_angle_gamma 90.00
_space_group_name_H-M_alt 'C 1 2/m 1'
_space_group_IT_number 12
_space_group_name_Hall '-C 2y'
loop_
_atom_site_label
_atom_site_type_symbol
_atom_site_fract_x
_atom_site_fract_y
_atom_site_fract_z
Li1 Li 0.0000 0.0000 0.0000
Li2 Li 0.0000 0.3266 0.0000
Mn1 Mn 0.0000 0.5000 0.5000
V1 V 0.0000 0.1514 0.5000
Se1 Se 0.2376 0.3322 0.7203
Se2 Se 0.2457 0.0000 0.7460

# PBE-GGA Li2YMnSe4, optimized geometry
# M_tot (μB per formula unit): 4.00
# Raw formation energy (eV/atom): -1.18
data_Li2YMnSe4
_chemical_formula_sum 'Li2 Y1 Mn1 Se4'
_cell_length_a 6.7234
_cell_length_b 3.9283
_cell_length_c 6.7956
_cell_angle_alpha 90.00
_cell_angle_beta 109.04
_cell_angle_gamma 90.00
_space_group_name_H-M_alt 'P 1 2/m 1'
_space_group_IT_number 10
_space_group_name_Hall '-P 2y'
loop_
_atom_site_label
_atom_site_type_symbol
_atom_site_fract_x
_atom_site_fract_y
_atom_site_fract_z
Li1 Li 0.0000 0.0000 0.0000
Li2 Li 0.5000 0.5000 0.0000
Y1 Y 0.0000 0.5000 0.5000
Mn1 Mn 0.5000 0.0000 0.5000
Se1 Se 0.2720 0.5000 0.2585
Se2 Se 0.2731 0.0000 0.7469

# PBE-GGA LiY2MnSe4, optimized geometry
# M_tot (μB per formula unit): 4.21
# Raw formation energy (eV/atom): -1.40
data_LiY2MnSe4
_chemical_formula_sum 'Li1 Y2 Mn1 Se4'
_cell_length_a 6.8003
_cell_length_b 4.0243
_cell_length_c 6.9689
_cell_angle_alpha 90.00
_cell_angle_beta 109.94
_cell_angle_gamma 90.00
_space_group_name_H-M_alt 'P 1 2/m 1'
_space_group_IT_number 10
_space_group_name_Hall '-P 2y'
loop_
_atom_site_label
_atom_site_type_symbol
_atom_site_fract_x
_atom_site_fract_y
_atom_site_fract_z
Li1 Li 0.0000 0.0000 0.0000
Y1 Y 0.5000 0.0000 0.5000
Y2 Y 0.5000 0.5000 0.0000
Mn1 Mn 0.0000 0.5000 0.5000
Se1 Se 0.2322 0.0000 0.7428
Se2 Se 0.2360 0.5000 0.2470

# PBE-GGA LiMnZn2Se4, optimized geometry
# M_tot (μB per formula unit): 4.00
# Raw formation energy (eV/atom): -0.66
data_LiMnZn2Se4
_chemical_formula_sum 'Li2 Mn2 Zn4 Se8'
_cell_length_a 5.6943
_cell_length_b 5.6943
_cell_length_c 11.6801
_cell_angle_alpha 90.00
_cell_angle_beta 90.00
_cell_angle_gamma 90.00
_space_group_name_H-M_alt 'I -4 2 m'
_space_group_IT_number 121
_space_group_name_Hall 'I -4 2'
loop_
_atom_site_label
_atom_site_type_symbol
_atom_site_fract_x
_atom_site_fract_y
_atom_site_fract_z
Li1 Li 0.0000 0.0000 0.0000
Mn1 Mn 0.0000 0.0000 0.5000
Zn1 Zn 0.0000 0.5000 0.2500
Se1 Se 0.2418 0.2418 0.3736

# PBE-GGA Li4Zr3MnSe8, optimized geometry
# M_tot (μB per formula unit): 4.76
# Raw formation energy (eV/atom): -1.21
data_Li4Zr3MnSe8
_chemical_formula_sum 'Li12 Zr9 Mn3 Se24'
_cell_length_a 7.6187
_cell_length_b 7.6187
_cell_length_c 19.5700
_cell_angle_alpha 90.00
_cell_angle_beta 90.00
_cell_angle_gamma 120.00
_space_group_name_H-M_alt 'R -3 m'
_space_group_IT_number 166
_space_group_name_Hall '-R 3 2"'
loop_
_atom_site_label
_atom_site_type_symbol
_atom_site_fract_x
_atom_site_fract_y
_atom_site_fract_z
Li1 Li 0.0000 0.0000 0.0000
Li2 Li 0.0000 0.5000 0.0000
Zr1 Zr 0.0000 0.5000 0.5000
Mn1 Mn 0.0000 0.0000 0.5000
Se1 Se 0.0000 0.0000 0.2507
Se2 Se 0.0029 0.5015 0.2488

# PBE-GGA Li3ZrMn2Se6, optimized geometry
# M_tot (μB per formula unit): 9.01
# Raw formation energy (eV/atom): -0.96
data_Li3ZrMn2Se6
_chemical_formula_sum 'Li6 Zr2 Mn4 Se12'
_cell_length_a 6.5795
_cell_length_b 11.4231
_cell_length_c 6.7695
_cell_angle_alpha 90.00
_cell_angle_beta 108.83
_cell_angle_gamma 90.00
_space_group_name_H-M_alt 'C 1 2/m 1'
_space_group_IT_number 12
_space_group_name_Hall '-C 2y'
loop_
_atom_site_label
_atom_site_type_symbol
_atom_site_fract_x
_atom_site_fract_y
_atom_site_fract_z
Li1 Li 0.0000 0.0000 0.0000
Li2 Li 0.0000 0.3342 0.0000
Zr1 Zr 0.0000 0.5000 0.5000
Mn1 Mn 0.0000 0.1669 0.5000
Se1 Se 0.2410 0.0000 0.7395
Se2 Se 0.2501 0.1693 0.2610

# PBE-GGA Li3Zr3MnSe8, optimized geometry
# M_tot (μB per formula unit): 4.77
# Raw formation energy (eV/atom): -1.19
data_Li3Zr3MnSe8
_chemical_formula_sum 'Li9 Zr9 Mn3 Se24'
_cell_length_a 7.6060
_cell_length_b 7.6060
_cell_length_c 19.6083
_cell_angle_alpha 90.00
_cell_angle_beta 90.00
_cell_angle_gamma 120.00
_space_group_name_H-M_alt 'R -3 m'
_space_group_IT_number 166
_space_group_name_Hall '-R 3 2"'
loop_
_atom_site_label
_atom_site_type_symbol
_atom_site_fract_x
_atom_site_fract_y
_atom_site_fract_z
Li1 Li 0.0000 0.5000 0.0000
Zr1 Zr 0.0000 0.5000 0.5000
Mn1 Mn 0.0000 0.0000 0.5000
Se1 Se 0.0000 0.0000 0.2504
Se2 Se 0.0026 0.5013 0.2471

# PBE-GGA Li2MnSi, optimized geometry
# M_tot (μB per formula unit): 2.36
# Raw formation energy (eV/atom): -0.08
data_Li2MnSi
_chemical_formula_sum 'Li2 Mn1 Si1'
_cell_length_a 2.7611
_cell_length_b 4.1123
_cell_length_c 4.4990
_cell_angle_alpha 90.00
_cell_angle_beta 90.00
_cell_angle_gamma 90.00
_space_group_name_H-M_alt 'P m m m'
_space_group_IT_number 47
_space_group_name_Hall '-P 2 2'
loop_
_atom_site_label
_atom_site_type_symbol
_atom_site_fract_x
_atom_site_fract_y
_atom_site_fract_z
Li1 Li 0.0000 0.0000 0.0000
Li2 Li 0.5000 0.5000 0.0000
Mn1 Mn 0.0000 0.5000 0.5000
Si1 Si 0.5000 0.0000 0.5000

Which value of raw formation energy does entry 8 give? -0.08 eV/atom

The lowest M_tot belongs to which entry? Li2MnSi

Number 3 is which compound? LiY2MnSe4

Look up the M_tot of the first one. 8.00 μB per formula unit